Computed, not measured: a relaxed NaTl3Au crystal at the PBE level of DFT.

Cell: 4.4221 8.0615 9.2639 Å, 116.21 103.81 90.00°
Last column: nearest neighbours and their distance in Å.
Fractional positions:
Au 0.0730 0.9864 0.1459  1 Au 2.73, 2 Tl 2.94
Au 0.9270 0.0136 0.8541  1 Au 2.73, 2 Tl 2.94
Tl 0.6811 0.9905 0.3622  2 Au 2.94, 2 Tl 3.27
Tl 0.7578 0.6561 0.5156  1 Au 3.10, 4 Tl 3.27-3.37
Tl 0.8974 0.3685 0.7949  1 Au 3.14, 5 Tl 3.32-3.50
Tl 0.2422 0.3439 0.4844  1 Au 3.10, 4 Tl 3.27-3.37
Tl 0.3189 0.0095 0.6378  2 Au 2.94, 2 Tl 3.27
Tl 0.1026 0.6315 0.2051  1 Au 3.14, 5 Tl 3.32-3.50
Na 0.5548 0.2492 0.1096  4 Au 3.13-3.18
Na 0.4452 0.7508 0.8904  4 Au 3.13-3.18

Properties
- polymorph energy (0 for the lowest one) (eV/f.u.) = 0.000
- magnetization (μB/cell) = 0.0
- ΔH_f (0 K) (eV per atom) = -0.10
- DOS at the Fermi energy (states/eV per atom) = 0.427
- energy (eV/cell) = -24.4
- space group = C2/m
- density (Mg/m³) = 9.69